! PBE Na2Y2S, relaxed; values from VASP
&SYSTEM
  ibrav = 0, nat = 5, ntyp = 3
/
ATOMIC_SPECIES
S 32.06 S.upf
Y 88.91 Y.upf
Na 22.99 Na.upf
CELL_PARAMETERS angstrom
-2.252 -0.594 -2.860
-1.759 -2.607 1.927
-8.033 4.968 2.917
ATOMIC_POSITIONS crystal
S 0.000 0.000 0.000
Y 0.417 0.417 0.165
Na 0.750 0.250 0.500
Y 0.583 0.583 0.835
Na 0.250 0.750 0.500
! - Formation energy from raw total energies: -0.1854 eV/atom
! - Energy above the most stable polymorph in this dataset: 1.26 eV per formula unit
! - D(E_F): 1.172 states/eV per atom
! - Crystal system: tetragonal

***

! PBE LiGe2As2, relaxed; values from VASP
&SYSTEM
  ibrav = 0, nat = 5, ntyp = 3
/
ATOMIC_SPECIES
As 74.92 As.upf
Ge 72.64 Ge.upf
Li 6.94 Li.upf
CELL_PARAMETERS angstrom
-2.930 -1.083 -3.281
-1.756 -3.238 2.637
-6.188 1.688 1.842
ATOMIC_POSITIONS crystal
As 0.627 0.627 0.746
Ge 0.250 0.750 0.500
Ge 0.750 0.250 0.500
As 0.373 0.373 0.254
Li 0.000 0.000 0.000
! - Energy above the most stable polymorph in this dataset: 0.62 eV per formula unit
! - D(E_F): 0.391 states/eV per atom
! - Crystal system: tetragonal

***

! PBE CaMgSeBr2, relaxed; values from VASP
&SYSTEM
  ibrav = 0, nat = 5, ntyp = 4
/
ATOMIC_SPECIES
Br 79.90 Br.upf
Mg 24.30 Mg.upf
Ca 40.08 Ca.upf
Se 78.96 Se.upf
CELL_PARAMETERS angstrom
-3.700 -1.746 3.021
1.261 -4.775 -1.214
3.441 -0.142 4.134
ATOMIC_POSITIONS crystal
Br 0.000 0.500 0.000
Mg 0.000 0.000 0.000
Ca 0.500 0.500 0.500
Br 0.500 0.000 0.000
Se 0.000 0.000 0.500
! - Formation energy from raw total energies: -1.2784 eV/atom
! - Energy above the most stable polymorph in this dataset: 0.00 eV per formula unit
! - Crystal system: tetragonal

***

! PBE Ac2MgTi, relaxed; values from VASP
&SYSTEM
  ibrav = 0, nat = 4, ntyp = 3
/
ATOMIC_SPECIES
Mg 24.30 Mg.upf
Ac 227.00 Ac.upf
Ti 47.87 Ti.upf
CELL_PARAMETERS angstrom
-2.679 -1.481 -1.764
-1.035 -3.284 0.791
-9.202 2.922 7.988
ATOMIC_POSITIONS crystal
Mg 0.500 0.500 0.500
Ac 0.916 0.916 0.252
Ti 0.000 0.000 0.000
Ac 0.084 0.084 0.748
! - D(E_F): 1.348 states/eV per atom
! - Crystal system: trigonal

***

Raw total energy values (in eV/cell) by entry order: -20.621, -19.936, -16.818, -15.223.
Spin magnetization values (in μB/atom) by entry order: 0.000, 0.000, 0.000, 0.353.
Volume values (in Å³/atom) by entry order: 25.94, 24.03, 27.83, 33.41.